## CsY2AlGe (PBE)

Data for an optimized crystal structure of CsY2AlGe.

Results
- formation energy (eV/atom) = 0.268
- E_tot (Ry/atom) = -0.30579
- D(E_F) (states/eV/atom) = 0.760

CIF file:
```
data_CsY2AlGe
_chemical_formula_sum 'Cs1 Y2 Al1 Ge1'
_symmetry_space_group_name_H-M 'P 4/m m m'
_symmetry_Int_Tables_number 123
_symmetry_space_group_name_Hall '-P 4 2'
_cell_length_a 5.688
_cell_length_b 5.688
_cell_length_c 5.124
_cell_angle_alpha 90.00
_cell_angle_beta 90.00
_cell_angle_gamma 90.00
loop_
_atom_site_label
_atom_site_type_symbol
_atom_site_fract_x
_atom_site_fract_y
_atom_site_fract_z
Cs1 Cs 0.000 0.000 0.000
Y1 Y 0.000 0.500 0.500
Al1 Al 0.500 0.500 0.000
Ge1 Ge 0.500 0.500 0.500
```